Density functional theory data (GGA+U) for Li2La2VO6 after structural relaxation.

Unit cell a=5.6885 b=5.6885 c=5.8107 alpha=60.69 beta=60.69 gamma=60.00
Last column: nearest neighbours and their distance in Å.
Fractional coordinates of all 11 atoms:
1 O 0.2389 0.7761 0.7461  1 Li 1.77, 1 V 1.95
2 O 0.7761 0.2389 0.7461  1 Li 1.77, 1 V 1.95
3 O 0.2389 0.2389 0.7461  1 Li 1.77, 1 V 1.95
4 Li 0.4277 0.4277 0.7168  3 O 1.77
5 O 0.7611 0.7611 0.2539  1 Li 1.77, 1 V 1.95
6 O 0.7611 0.2239 0.2539  1 Li 1.77, 1 V 1.95
7 La 0.2185 0.2185 0.3444  3 O 2.45
8 La 0.7815 0.7815 0.6556  3 O 2.45
9 O 0.2239 0.7611 0.2539  1 Li 1.77, 1 V 1.95
10 V 0.0000 0.0000 0.0000  6 O 1.95
11 Li 0.5723 0.5723 0.2832  3 O 1.77

Results
Uncorrected energy   -78.11 eV per cell
Crystal system   trigonal

=====

Density functional theory data (GGA+U) for LiLaW2O8 after structural relaxation.

Unit cell a=6.8939 b=6.8939 c=6.8939 alpha=133.98 beta=133.98 gamma=67.12
Last column: nearest neighbours and their distance in Å.
Fractional coordinates of all 12 atoms:
1 O 0.6847 0.5747 0.5830  1 W 1.83
2 O 0.2614 0.6549 0.0893  1 W 1.83
3 O 0.8279 0.7386 0.3935  1 W 1.83
4 Li 0.2500 0.7500 0.5000  8 O 2.48-2.56
5 W 0.5000 0.5000 0.0000  4 O 1.83
6 W 0.7500 0.2500 0.5000  4 O 1.83
7 O 0.8983 0.3153 0.8900  1 W 1.83
8 O 0.4253 0.0083 0.1100  1 W 1.83
9 O 0.5656 0.1721 0.9107  1 W 1.83
10 La 0.0000 0.0000 0.0000  8 O 2.48-2.54
11 O 0.3451 0.4344 0.6065  1 W 1.83
12 O 0.9917 0.1017 0.4170  1 W 1.83

Results
Polymorph energy (0 for the lowest one)   71 meV/atom
Crystal system   tetragonal

=====

Density functional theory data (GGA+U) for Li2LaWO6 after structural relaxation.

Unit cell a=5.6039 b=5.3962 c=8.1141 alpha=90.00 beta=91.33 gamma=90.00
Last column: nearest neighbours and their distance in Å.
Fractional coordinates of all 20 atoms:
1 O 0.0955 0.1658 0.0794  1 Li 1.97, 1 W 1.98
2 W 0.0000 0.5000 0.0000  6 O 1.92-1.98
3 O 0.5955 0.3342 0.5794  1 Li 1.97, 1 W 1.98
4 Li 0.9589 0.9793 0.2633  4 O 1.97-2.14
5 O 0.6877 0.3819 0.9366  1 W 1.92, 1 Li 2.02
6 O 0.1877 0.1181 0.4366  1 W 1.92, 1 Li 2.02
7 O 0.6160 0.0953 0.2817  1 W 1.97, 2 Li 2.03-2.14
8 Li 0.0411 0.0207 0.7367  4 O 1.97-2.14
9 La 0.5000 0.0000 0.0000  6 O 2.38-2.53
10 O 0.9045 0.8342 0.9206  1 Li 1.97, 1 W 1.98
11 O 0.8840 0.5953 0.2183  1 W 1.97, 2 Li 2.03-2.14
12 O 0.4045 0.6658 0.4206  1 Li 1.97, 1 W 1.98
13 O 0.3123 0.6181 0.0634  1 W 1.92, 1 Li 2.02
14 O 0.1160 0.4047 0.7817  1 W 1.97, 2 Li 2.03-2.14
15 Li 0.4589 0.5207 0.7633  4 O 1.97-2.14
16 W 0.5000 0.0000 0.5000  6 O 1.92-1.98
17 O 0.3840 0.9047 0.7183  1 W 1.97, 2 Li 2.03-2.14
18 La 0.0000 0.5000 0.5000  6 O 2.38-2.53
19 Li 0.5411 0.4793 0.2367  4 O 1.97-2.14
20 O 0.8123 0.8819 0.5634  1 W 1.92, 1 Li 2.02

Results
Uncorrected energy   -136.22 eV per cell
Crystal system   monoclinic

=====

Density functional theory data (GGA+U) for LiLaW2O8 after structural relaxation.

Unit cell a=7.2324 b=7.5096 c=7.6662 alpha=113.62 beta=115.97 gamma=90.95
Last column: nearest neighbours and their distance in Å.
Fractional coordinates of all 24 atoms:
1 Li 0.7394 0.3346 0.9919  3 O 1.99-2.07
2 O 0.2968 0.9939 0.5273  1 W 1.79
3 O 0.8643 0.0084 0.1972  2 W 1.98-2.07
4 O 0.3858 0.1748 0.2574  2 W 1.93-2.13
5 O 0.1778 0.6448 0.5650  1 W 1.85
6 W 0.3532 0.8981 0.7209  4 O 1.79-1.98
7 O 0.7032 0.0061 0.4727  1 W 1.79
8 O 0.9640 0.6955 0.9135  1 W 1.83, 1 Li 1.99
9 O 0.1357 0.9916 0.8028  2 W 1.98-2.07
10 O 0.4390 0.5357 0.2425  1 W 1.85
11 O 0.6142 0.8252 0.7426  2 W 1.93-2.13
12 O 0.0360 0.3045 0.0865  1 W 1.83, 1 Li 1.99
13 O 0.4811 0.8285 0.0071  1 Li 2.00, 2 W 2.07-2.19
14 O 0.5610 0.4643 0.7575  1 W 1.85
15 O 0.5189 0.1715 0.9929  1 Li 2.00, 2 W 2.07-2.19
16 W 0.7438 0.7094 0.9714  3 O 1.83-1.85
17 W 0.6468 0.1019 0.2791  4 O 1.79-1.98
18 O 0.8162 0.6387 0.1922  1 W 1.84
19 O 0.8222 0.3552 0.4350  1 W 1.85
20 W 0.2562 0.2906 0.0286  3 O 1.83-1.85
21 Li 0.2606 0.6654 0.0081  3 O 1.99-2.07
22 La 0.1887 0.2890 0.4664  8 O 2.47-2.68
23 La 0.8113 0.7110 0.5336  8 O 2.47-2.68
24 O 0.1838 0.3613 0.8078  1 W 1.84

Results
Polymorph energy (0 for the lowest one)   0 meV/atom
Crystal system   triclinic